# 1
DFT (PBE) results for Ca2LaInSe4 after structural relaxation.

As for the space group: P2/m, No. 10. The calculation puts the density of states at the Fermi level at 0.35 states/eV/f.u. The total magnetization is 0.000 μB per formula unit. As for the crystal system: monoclinic.

abc: 4.3299 7.3889 7.6157
angles: 71.36 90.00 90.00
Fractional positions:
Ca (0.0000, 0.0000, 0.0000)
Ca (0.5000, 0.0000, 0.5000)
La (0.0000, 0.5000, 0.5000)
In (0.5000, 0.5000, 0.0000)
Se (0.0000, 0.7649, 0.7285)
Se (0.0000, 0.2351, 0.2715)
Se (0.5000, 0.7568, 0.2576)
Se (0.5000, 0.2432, 0.7424)

# 2
DFT (PBE) results for CaLaInSi after structural relaxation.

As for the space group: F-43m, No. 216. The calculation puts the density of states at the Fermi level at 1.80 states/eV/f.u. The total magnetization is 0.000 μB per formula unit. As for the crystal system: cubic.

abc: 5.3430 5.3430 5.3430
angles: 60.00 60.00 60.00
Fractional positions:
Ca (0.7500, 0.7500, 0.7500)
In (0.0000, 0.0000, 0.0000)
Si (0.5000, 0.5000, 0.5000)
La (0.2500, 0.2500, 0.2500)

# 3
DFT (PBE) results for CaLaSmIn after structural relaxation.

As for the space group: F-43m, No. 216. The calculation puts the density of states at the Fermi level at 3.02 states/eV/f.u. The total magnetization is 0.000 μB per formula unit. As for the crystal system: cubic.

abc: 5.6494 5.6494 5.6494
angles: 60.00 60.00 60.00
Fractional positions:
Ca (0.7500, 0.7500, 0.7500)
In (0.2500, 0.2500, 0.2500)
Sm (0.5000, 0.5000, 0.5000)
La (0.0000, 0.0000, 0.0000)

# 4
DFT (PBE) results for CaLaSm2In4 after structural relaxation.

As for the space group: R-3m, No. 166. The calculation puts the density of states at the Fermi level at 4.03 states/eV/f.u. The total magnetization is 0.000 μB per formula unit. As for the crystal system: trigonal.

abc: 5.4544 5.4544 9.5391
angles: 73.39 73.39 60.00
Fractional positions:
Ca (0.5000, 0.5000, 0.5000)
La (0.0000, 0.0000, 0.0000)
Sm (0.7528, 0.7528, 0.7416)
Sm (0.2472, 0.2472, 0.2584)
In (0.3754, 0.3754, 0.8737)
In (0.8745, 0.8745, 0.3764)
In (0.1255, 0.1255, 0.6236)
In (0.6246, 0.6246, 0.1263)

Number 1: DFT total energy -4.835 eV per atom. Number 2: DFT total energy -4.157 eV per atom. Number 3: DFT total energy -3.793 eV per atom. Number 4: DFT total energy -3.898 eV per atom.